Entry 1:
Tb5Y3S8: optimized geometry, GGA-PBE.

Results
The total energy is -6.72 eV per atom. The value obtained for the formation energy from raw total energies is -2000 meV/atom. Its total magnetic moment is 0.0 μB per formula unit.

a b c (Å): 7.8473 7.8473 7.8511
angles (deg): 60.02 60.02 60.00
Positions (direct):
Tb1 0.5000 0.0000 0.0000
Tb2 0.5000 0.5000 0.0000
Tb3 0.0000 0.0000 0.0000
Tb4 0.0000 0.5000 0.0000
Tb5 0.5000 0.5000 0.5000
Y1 0.5000 0.0000 0.5000
Y2 0.0000 0.0000 0.5000
Y3 0.0000 0.5000 0.5000
S1 0.2500 0.2500 0.7493
S2 0.2500 0.7507 0.7493
S3 0.7507 0.2500 0.7493
S4 0.7504 0.7504 0.7489
S5 0.7500 0.7500 0.2507
S6 0.7500 0.2493 0.2507
S7 0.2493 0.7500 0.2507
S8 0.2496 0.2496 0.2511

=====

Entry 2:
LiYFe: optimized geometry, GGA-PBE.

Results
The energy relative to the lowest polymorph listed for this composition comes out at 0.583 eV per atom. The total energy is -5.00 eV per atom. For the formation enthalpy at 0 K, the calculation gives 0.617 eV/atom. Its total magnetic moment is 1.8 μB per formula unit.

a b c (Å): 4.5611 4.5611 4.5611
angles (deg): 60.00 60.00 60.00
Last column: magnetic moment on the atom in μB.
Positions (direct):
Fe1 0.7500 0.7500 0.7500  2.19
Li1 0.0000 0.0000 0.0000  -0.04
Y1 0.5000 0.5000 0.5000  -0.20

=====

Entry 3:
GaAsSe2: optimized geometry, GGA-PBE.

Results
The energy relative to the lowest polymorph listed for this composition comes out at 0.040 eV per atom. The total energy is -3.68 eV per atom. The value obtained for the formation energy from raw total energies is -21 meV/atom. Its total magnetic moment is 0.0 μB per formula unit.

a b c (Å): 7.0206 7.0206 6.2997
angles (deg): 56.14 56.14 90.00
Positions (direct):
As1 0.0000 0.0000 0.0000
As2 0.7500 0.2500 0.5000
Ga1 0.5000 0.5000 0.0000
Ga2 0.2500 0.7500 0.5000
Se1 0.6201 0.1250 0.2500
Se2 0.1299 0.6250 0.2500
Se3 0.3750 0.3799 0.7500
Se4 0.8750 0.8701 0.7500

=====

Entry 4:
HoErCdCo: optimized geometry, GGA-PBE.

Results
The energy relative to the lowest polymorph listed for this composition comes out at 0.119 eV per atom. The total energy is -4.45 eV per atom. For the formation enthalpy at 0 K, the calculation gives -0.157 eV/atom. Its total magnetic moment is 0.6 μB per formula unit.

a b c (Å): 4.9964 4.9964 4.9964
angles (deg): 60.00 60.00 60.00
Last column: magnetic moment on the atom in μB.
Positions (direct):
Cd1 0.7500 0.7500 0.7500  -0.01
Co1 0.2500 0.2500 0.2500  1.03
Ho1 0.5000 0.5000 0.5000  -0.17
Er1 0.0000 0.0000 0.0000  -0.18